Rb2PdSe2 | PBE | relaxed

raw formation energy = -4.4 eV per formula unit
DOS(E_F) = 0.0 states/eV per cell
size of the total moment = 0.00 μB per formula unit

Lattice parameters (Å, degrees): 3.8643 7.6783 10.3072 90.00 90.00 90.00
Space group Immm (No. 71)
Asymmetric unit:
Rb: 0.0000 0.0000 0.1954
Pd: 0.0000 0.5000 0.0000
Se: 0.0000 0.2120 0.5000